Entry 1:
# Sc2PO GGA-PBEsol optimized geometry
data_Sc2PO
_chemical_formula_sum 'Sc6 P3 O3'
_cell_length_a 3.1322
_cell_length_b 3.1322
_cell_length_c 22.4507
_cell_angle_alpha 90.00
_cell_angle_beta 90.00
_cell_angle_gamma 120.00
_space_group_name_H-M_alt 'R -3 m'
_space_group_IT_number 166
_space_group_name_Hall '-R 3 2"'
loop_
_atom_site_label
_atom_site_fract_x
_atom_site_fract_y
_atom_site_fract_z
_atom_site_occupancy
Sc1 0.0000 0.0000 0.1112 1
P1 0.0000 0.0000 0.0000 1
O1 0.0000 0.0000 0.5000 1
# Magnetization = 0.00 μB per formula unit
# E = -7.44 eV per atom
# ΔE_f (raw) = -133 kJ per mole of atoms

***

Entry 2:
# ScSnP2O GGA-PBEsol optimized geometry
data_ScSnP2O
_chemical_formula_sum 'Sc1 Sn1 P2 O1'
_cell_length_a 5.092
_cell_length_b 5.092
_cell_length_c 3.834
_cell_angle_alpha 90.00
_cell_angle_beta 90.00
_cell_angle_gamma 90.00
_space_group_name_H-M_alt 'P 4/m m m'
_space_group_IT_number 123
_space_group_name_Hall '-P 4 2'
loop_
_atom_site_label
_atom_site_fract_x
_atom_site_fract_y
_atom_site_fract_z
_atom_site_occupancy
Sc1 0.000 0.000 0.000 1
Sn1 0.500 0.500 0.500 1
P1 0.000 0.500 0.000 1
O1 0.000 0.000 0.500 1
# Magnetization = 0.00 μB per formula unit
# E = -5.97 eV per atom
# ΔE_f (raw) = -41 kJ per mole of atoms

***

Entry 3:
# ScTcP2O GGA-PBEsol optimized geometry
data_ScTcP2O
_chemical_formula_sum 'Sc1 Tc1 P2 O1'
_cell_length_a 4.919
_cell_length_b 4.919
_cell_length_c 3.760
_cell_angle_alpha 90.00
_cell_angle_beta 90.00
_cell_angle_gamma 90.00
_space_group_name_H-M_alt 'P 4/m m m'
_space_group_IT_number 123
_space_group_name_Hall '-P 4 2'
loop_
_atom_site_label
_atom_site_fract_x
_atom_site_fract_y
_atom_site_fract_z
_atom_site_occupancy
Sc1 0.000 0.000 0.000 1
Tc1 0.500 0.500 0.500 1
P1 0.000 0.500 0.000 1
O1 0.000 0.000 0.500 1
# Magnetization = 2.77 μB per formula unit
# E = -6.66 eV per atom
# Energy relative to the lowest polymorph listed for this composition = 0.8732 eV/atom
# ΔE_f (raw) = 27 kJ per mole of atoms

***

Entry 4:
# ScTcP2O GGA-PBEsol optimized geometry
data_ScTcP2O
_chemical_formula_sum 'Sc1 Tc1 P2 O1'
_cell_length_a 4.738
_cell_length_b 4.738
_cell_length_c 3.634
_cell_angle_alpha 90.00
_cell_angle_beta 90.00
_cell_angle_gamma 90.00
_space_group_name_H-M_alt 'P 4/m m m'
_space_group_IT_number 123
_space_group_name_Hall '-P 4 2'
loop_
_atom_site_label
_atom_site_fract_x
_atom_site_fract_y
_atom_site_fract_z
_atom_site_occupancy
Sc1 0.000 0.000 0.000 1
Tc1 0.500 0.500 0.500 1
P1 0.000 0.500 0.500 1
O1 0.500 0.500 0.000 1
# Magnetization = 0.00 μB per formula unit
# E = -7.53 eV per atom
# Energy relative to the lowest polymorph listed for this composition = 0.0000 eV/atom
# ΔE_f (raw) = -57 kJ per mole of atoms

***

Entry 5:
# ScTiP2O GGA-PBEsol optimized geometry
data_ScTiP2O
_chemical_formula_sum 'Sc1 Ti1 P2 O1'
_cell_length_a 4.882
_cell_length_b 4.882
_cell_length_c 3.780
_cell_angle_alpha 90.00
_cell_angle_beta 90.00
_cell_angle_gamma 90.00
_space_group_name_H-M_alt 'P 4/m m m'
_space_group_IT_number 123
_space_group_name_Hall '-P 4 2'
loop_
_atom_site_label
_atom_site_fract_x
_atom_site_fract_y
_atom_site_fract_z
_atom_site_occupancy
Sc1 0.000 0.000 0.000 1
Ti1 0.500 0.500 0.500 1
P1 0.000 0.500 0.000 1
O1 0.000 0.000 0.500 1
# Magnetization = 0.37 μB per formula unit
# E = -6.70 eV per atom
# ΔE_f (raw) = -33 kJ per mole of atoms

***

Entry 6:
# YScP2O GGA-PBEsol optimized geometry
data_YScP2O
_chemical_formula_sum 'Y1 Sc1 P2 O1'
_cell_length_a 4.942
_cell_length_b 4.942
_cell_length_c 3.903
_cell_angle_alpha 90.00
_cell_angle_beta 90.00
_cell_angle_gamma 90.00
_space_group_name_H-M_alt 'P 4/m m m'
_space_group_IT_number 123
_space_group_name_Hall '-P 4 2'
loop_
_atom_site_label
_atom_site_fract_x
_atom_site_fract_y
_atom_site_fract_z
_atom_site_occupancy
Y1 0.000 0.000 0.000 1
Sc1 0.500 0.500 0.500 1
P1 0.000 0.500 0.500 1
O1 0.500 0.500 0.000 1
# Magnetization = 0.01 μB per formula unit
# E = -7.13 eV per atom
# ΔE_f (raw) = -104 kJ per mole of atoms

***

Entry 7:
# ZrScPO2 GGA-PBEsol optimized geometry
data_ZrScPO2
_chemical_formula_sum 'Zr1 Sc1 P1 O2'
_cell_length_a 3.900
_cell_length_b 3.900
_cell_length_c 5.060
_cell_angle_alpha 90.00
_cell_angle_beta 90.00
_cell_angle_gamma 90.00
_space_group_name_H-M_alt 'P 4/m m m'
_space_group_IT_number 123
_space_group_name_Hall '-P 4 2'
loop_
_atom_site_label
_atom_site_fract_x
_atom_site_fract_y
_atom_site_fract_z
_atom_site_occupancy
Zr1 0.000 0.000 0.000 1
Sc1 0.500 0.500 0.500 1
P1 0.500 0.500 0.000 1
O1 0.000 0.500 0.500 1
# Magnetization = 0.00 μB per formula unit
# E = -8.02 eV per atom
# ΔE_f (raw) = -157 kJ per mole of atoms

***

Entry 8:
# P2SeO2 GGA-PBEsol optimized geometry
data_P2SeO2
_chemical_formula_sum 'P2 Se1 O2'
_cell_length_a 3.639
_cell_length_b 3.639
_cell_length_c 5.176
_cell_angle_alpha 90.00
_cell_angle_beta 90.00
_cell_angle_gamma 90.00
_space_group_name_H-M_alt 'P 4/m m m'
_space_group_IT_number 123
_space_group_name_Hall '-P 4 2'
loop_
_atom_site_label
_atom_site_fract_x
_atom_site_fract_y
_atom_site_fract_z
_atom_site_occupancy
P1 0.000 0.000 0.000 1
P2 0.500 0.500 0.000 1
Se1 0.000 0.000 0.500 1
O1 0.000 0.500 0.500 1
# Magnetization = 0.78 μB per formula unit
# E = -4.93 eV per atom
# ΔE_f (raw) = 25 kJ per mole of atoms

***

Entry 9:
# P4SeO7 GGA-PBEsol optimized geometry
data_P4SeO7
_chemical_formula_sum 'P8 Se2 O14'
_cell_length_a 6.834
_cell_length_b 7.194
_cell_length_c 8.621
_cell_angle_alpha 95.02
_cell_angle_beta 105.21
_cell_angle_gamma 97.01
_space_group_name_H-M_alt 'P -1'
_space_group_IT_number 2
_space_group_name_Hall '-P 1'
loop_
_atom_site_label
_atom_site_fract_x
_atom_site_fract_y
_atom_site_fract_z
_atom_site_occupancy
P1 0.129 0.291 0.267 1
P2 0.206 0.019 0.869 1
P3 0.238 0.754 0.616 1
P4 0.275 0.641 0.939 1
Se1 0.348 0.729 0.418 1
O1 0.006 0.299 0.414 1
O2 0.023 0.604 0.866 1
O3 0.031 0.062 0.187 1
O4 0.259 0.218 0.936 1
O5 0.281 0.970 0.710 1
O6 0.305 0.877 0.988 1
O7 0.335 0.638 0.762 1
# Magnetization = 0.00 μB per formula unit
# E = -6.87 eV per atom
# ΔE_f (raw) = -150 kJ per mole of atoms

***

Entry 10:
# P2SeO3 GGA-PBEsol optimized geometry
data_P2SeO3
_chemical_formula_sum 'P16 Se8 O24'
_cell_length_a 11.711
_cell_length_b 6.440
_cell_length_c 11.620
_cell_angle_alpha 90.00
_cell_angle_beta 91.95
_cell_angle_gamma 90.00
_space_group_name_H-M_alt 'P 1 21/c 1'
_space_group_IT_number 14
_space_group_name_Hall '-P 2ybc'
loop_
_atom_site_label
_atom_site_fract_x
_atom_site_fract_y
_atom_site_fract_z
_atom_site_occupancy
P1 0.139 0.225 0.072 1
P2 0.206 0.506 0.368 1
P3 0.330 0.551 0.590 1
P4 0.353 0.162 0.464 1
Se1 0.008 0.157 0.663 1
Se2 0.416 0.746 0.198 1
O1 0.109 0.104 0.955 1
O2 0.217 0.054 0.144 1
O3 0.233 0.108 0.535 1
O4 0.280 0.644 0.471 1
O5 0.294 0.194 0.860 1
O6 0.403 0.147 0.052 1
# Magnetization = 0.00 μB per formula unit
# E = -6.51 eV per atom
# ΔE_f (raw) = -127 kJ per mole of atoms

***

Entry 11:
# PSe2O GGA-PBEsol optimized geometry
data_PSe2O
_chemical_formula_sum 'P3 Se6 O3'
_cell_length_a 3.5155
_cell_length_b 3.5155
_cell_length_c 20.7307
_cell_angle_alpha 90.00
_cell_angle_beta 90.00
_cell_angle_gamma 120.00
_space_group_name_H-M_alt 'R -3 m'
_space_group_IT_number 166
_space_group_name_Hall '-R 3 2"'
loop_
_atom_site_label
_atom_site_fract_x
_atom_site_fract_y
_atom_site_fract_z
_atom_site_occupancy
P1 0.0000 0.0000 0.0000 1
Se1 0.0000 0.0000 0.4083 1
O1 0.0000 0.0000 0.5000 1
# Magnetization = 0.00 μB per formula unit
# E = -4.54 eV per atom
# ΔE_f (raw) = 14 kJ per mole of atoms

***

Entry 12:
# SiPSeO2 GGA-PBEsol optimized geometry
data_SiPSeO2
_chemical_formula_sum 'Si1 P1 Se1 O2'
_cell_length_a 3.387
_cell_length_b 3.387
_cell_length_c 5.756
_cell_angle_alpha 90.00
_cell_angle_beta 90.00
_cell_angle_gamma 90.00
_space_group_name_H-M_alt 'P 4/m m m'
_space_group_IT_number 123
_space_group_name_Hall '-P 4 2'
loop_
_atom_site_label
_atom_site_fract_x
_atom_site_fract_y
_atom_site_fract_z
_atom_site_occupancy
Si1 0.000 0.000 0.000 1
P1 0.000 0.000 0.500 1
Se1 0.500 0.500 0.500 1
O1 0.000 0.500 0.000 1
# Magnetization = 0.00 μB per formula unit
# E = -6.11 eV per atom
# ΔE_f (raw) = -90 kJ per mole of atoms